PBE Mg2TaNi, optimized geometry; energy of formation = 255 meV per atom
1.0
5.524 0.037 0.026
-2.266 4.685 -0.054
0.443 0.755 2.591
Mg Ni Ta
2 1 1
Direct
0.000 0.000 0.000
0.000 0.500 0.500
0.500 0.500 0.000
0.500 0.000 0.500